A relaxed AlPSe crystal, computed with PBE.

Cell lengths 7.0134, 3.6110, 7.0384 Å; angles 90.00, 106.61, 90.00 degrees
Last column: nearest neighbours and their distance in Å.
Atoms (fractional coordinates):
Se (0.7523, 0.7500, 0.4151)  3 Al 2.44-2.48
Se (0.2477, 0.2500, 0.5849)  3 Al 2.44-2.48
Al (0.0883, 0.7500, 0.3641)  1 P 2.34, 3 Se 2.44-2.48
Al (0.9117, 0.2500, 0.6359)  1 P 2.34, 3 Se 2.44-2.48
P (0.8882, 0.2500, 0.9615)  1 Al 2.34, 2 P 2.35
P (0.1118, 0.7500, 0.0385)  1 Al 2.34, 2 P 2.35

Output
Final energy: -14.177 eV/f.u.
Magnetization: 0.00 μB/cell
Energy relative to the elements, uncorrected: -513.4 meV/atom